First-principles (PBE-GGA) data for crystalline YBe2NbHg at its relaxed geometry, as listed in the Alexandria database.

Volume, Å³ per atom: 22.85
Uncorrected energy, eV per atom: -2.9941
Magnetization, μB/atom: 0.000
D(E_F), states/eV/cell: 6.46

The structure in CIF format:
```
data_YBe2NbHg
_space_group_name_H-M_alt 'P 4/m m m'
_space_group_IT_number 123
_space_group_name_Hall '-P 4 2'
_cell_length_a 4.658
_cell_length_b 4.658
_cell_length_c 5.267
_cell_angle_alpha 90.00
_cell_angle_beta 90.00
_cell_angle_gamma 90.00
loop_
_atom_site_label
_atom_site_fract_x
_atom_site_fract_y
_atom_site_fract_z
Y1 0.000 0.000 0.000
Be1 0.000 0.500 0.000
Nb1 0.500 0.500 0.500
Hg1 0.000 0.000 0.500
```

First-principles (PBE-GGA) data for crystalline HfSb2Au at its relaxed geometry, as listed in the Alexandria database.

Volume, Å³ per atom: 25.59
Raw formation energy, eV per atom: -0.05
Uncorrected energy, eV per atom: -5.4206
Magnetization, μB/atom: 0.000
D(E_F), states/eV/cell: 7.36

The structure in CIF format:
```
data_HfSb2Au
_space_group_name_H-M_alt 'R 3 m'
_space_group_IT_number 160
_space_group_name_Hall 'R 3 -2"'
_cell_length_a 4.3117
_cell_length_b 4.3117
_cell_length_c 19.0750
_cell_angle_alpha 90.00
_cell_angle_beta 90.00
_cell_angle_gamma 120.00
loop_
_atom_site_label
_atom_site_fract_x
_atom_site_fract_y
_atom_site_fract_z
Hf1 0.0000 0.0000 0.0000
Sb1 0.0000 0.0000 0.4146
Sb2 0.0000 0.0000 0.5864
Au1 0.0000 0.0000 0.8415
```